Cr3PbI | PBE | relaxed

Values from the calculation:
energy relative to the lowest polymorph listed for this composition	0.50	eV per formula unit
V	141.6	Å³ per cell
uncorrected energy	-5.544	eV per atom

a = 5.2118 Å, b = 5.2118 Å, c = 5.2118 Å
α = 90.00°, β = 90.00°, γ = 90.00°
Last column: nearest neighbours and their distance in Å.
Space group Pm-3m (No. 221)
Asymmetric unit:
Cr 0.0000 0.0000 0.5000 x3  2 I 2.61
Pb 0.5000 0.5000 0.5000 x1  12 Cr 3.69
I 0.0000 0.0000 0.0000 x1  6 Cr 2.61